(1)
4
Lattice="3.6382 0.0000 0.0000 1.8191 3.1507 0.0000 1.8191 1.0502 12.9557" Properties=species:S:1:pos:R:3 comment="SrSm2Ho (PBE, optimized geometry)" sg="R-3m (166)" energy_ev_per_atom=-3.726 total_magnetization_mub_per_cell=0.00 formation_energy_ev_per_atom=0.199 pbc="T T T"
Sr 0.0000 0.0000 0.0000
Ho 3.6382 2.1005 6.4779
Sm 1.8191 1.0503 9.3235
Sm 5.4573 3.1507 3.6322

---

(2)
3
Lattice="3.7394 0.0000 0.0000 -1.8697 3.2384 0.0000 0.0000 0.0000 9.3100" Properties=species:S:1:pos:R:3 comment="SrSmHo (PBE, optimized geometry)" sg="P3m1 (156)" energy_ev_per_atom=-3.517 total_magnetization_mub_per_cell=0.00 formation_energy_ev_per_atom=0.143 pbc="T T T"
Sr 0.0000 0.0000 0.0321
Ho 1.8697 1.0795 3.2760
Sm 0.0000 2.1589 6.0018

---

(3)
12
Lattice="-3.9999 0.7667 1.7063 2.3237 -4.3732 7.4125 4.5205 8.8027 0.9278" Properties=species:S:1:pos:R:3 comment="SrSm2Ho3Te6 (PBE, optimized geometry)" sg="C2/m (12)" energy_ev_per_atom=-5.008 e_form_raw_kj_per_mol_atoms=-131.8 total_magnetization_mub_per_cell=0.00 pbc="T T T"
Sr -2.0000 0.3834 0.8531
Sm 1.1649 3.5348 6.8562
Sm 1.6794 1.6614 3.1904
Ho -0.8381 -1.8033 4.5594
Ho 0.0987 5.7531 3.3599
Ho 2.7456 -0.5569 6.6867
Te 3.7953 2.0022 7.9973
Te 0.1816 0.7880 5.7854
Te -0.9509 3.1940 2.0493
Te 0.6139 -1.1315 1.9476
Te 2.2304 6.3277 8.0991
Te 2.6627 4.4083 4.2612

---

(4)
12
Lattice="7.7875 0.0038 0.0002 -3.8886 6.7472 0.0002 -1.3005 -2.2517 7.5452" Properties=species:S:1:pos:R:3 comment="Sr3SmHo2Te6 (PBE, optimized geometry)" sg="C2/m (12)" energy_ev_per_atom=-4.642 e_form_raw_kj_per_mol_atoms=-144.2 total_magnetization_mub_per_cell=0.00 pbc="T T T"
Sr -2.6224 4.5146 3.7728
Sr 5.2210 -0.0153 3.7728
Sr 1.2993 2.2497 3.7728
Sm 0.0000 0.0000 0.0000
Ho -0.0075 4.5058 0.0002
Ho 3.9065 2.2453 0.0002
Te 3.9170 2.2100 5.7894
Te 2.5747 4.4581 1.7387
Te -1.3185 2.2893 1.7561
Te -0.0433 4.4973 5.7894
Te 0.0238 0.0412 5.8068
Te 2.6419 0.0020 1.7561

---

(5)
15
Lattice="-2.8197 -7.3927 4.0310 -0.8597 0.8642 -8.7972 8.3636 -1.2586 3.5422" Properties=species:S:1:pos:R:3 comment="Sr3SmHo3Te8 (PBE, optimized geometry)" sg="R-3m (166)" energy_ev_per_atom=-4.751 e_form_raw_kj_per_mol_atoms=-145.6 total_magnetization_mub_per_cell=0.00 pbc="T T T"
Sr 0.0000 0.0000 0.0000
Sr -0.4298 0.4321 -4.3986
Sr -1.8397 -3.2643 -2.3831
Sm 4.1818 -0.6293 1.7711
Ho 2.7720 -4.3257 3.7866
Ho 2.3421 -3.8936 -0.6120
Ho 3.7520 -0.1972 -2.6275
Te 1.0976 -1.7954 -2.5249
Te 3.5867 -5.9918 1.3010
Te -0.3192 -5.4482 -0.4343
Te 5.0034 -2.3390 -0.7897
Te 0.1008 -5.8677 3.8258
Te 4.5835 -1.9195 -5.0498
Te 1.4661 -2.2882 1.8740
Te 3.2182 -5.4990 -3.0980

---

(6)
15
Lattice="6.7340 -0.0743 -0.1067 -3.2648 8.5885 1.1398 -3.2648 -1.9126 8.4501" Properties=species:S:1:pos:R:3 comment="Tb3Sm4Ho8 (PBE, optimized geometry)" sg="C2/m (12)" energy_ev_per_atom=-4.247 total_magnetization_mub_per_cell=0.01 formation_energy_ev_per_atom=0.379 pbc="T T T"
Tb 1.7346 4.2571 0.5165
Tb 1.7346 -0.9934 4.1717
Tb 0.1022 3.3008 4.7416
Sm 3.3670 -0.0371 -0.0533
Sm -1.6324 4.2943 0.5699
Sm 0.0000 0.0000 0.0000
Sm -1.6324 -0.9563 4.2250
Ho 1.7834 1.7417 2.5020
Ho -3.2648 4.7994 3.7776
Ho -1.7284 1.7954 2.5791
Ho 0.1022 5.8759 2.9489
Ho 0.1022 0.7257 6.5342
Ho 1.9329 4.8062 6.9040
Ho -3.2648 1.8765 5.8123
Ho -1.5789 4.8599 6.9812

---

(7)
20
Lattice="5.0177 0.0000 0.0000 0.0000 5.0177 0.0000 0.0000 0.0000 25.0338" Properties=species:S:1:pos:R:3 comment="TbSm4Ho15 (PBE, optimized geometry)" sg="P4/mmm (123)" energy_ev_per_atom=-4.589 total_magnetization_mub_per_cell=0.00 formation_energy_ev_per_atom=0.020 pbc="T T T"
Tb 0.0000 0.0000 0.0000
Sm 0.0000 0.0000 5.0003
Sm 0.0000 0.0000 10.0100
Sm 0.0000 0.0000 15.0238
Sm 0.0000 0.0000 20.0335
Ho 2.5088 2.5088 0.0000
Ho 2.5088 2.5088 4.9952
Ho 2.5088 2.5088 10.0121
Ho 2.5088 2.5088 15.0217
Ho 2.5088 2.5088 20.0385
Ho 2.5088 0.0000 2.4881
Ho 2.5088 0.0000 7.5046
Ho 2.5088 0.0000 12.5169
Ho 2.5088 0.0000 17.5291
Ho 2.5088 0.0000 22.5456
Ho 0.0000 2.5088 2.4881
Ho 0.0000 2.5088 7.5046
Ho 0.0000 2.5088 12.5169
Ho 0.0000 2.5088 17.5291
Ho 0.0000 2.5088 22.5456

---

(8)
19
Lattice="-3.3441 -5.4324 6.8315 -2.9956 -3.3322 -8.2028 9.3366 -0.4078 0.1595" Properties=species:S:1:pos:R:3 comment="Tb6SmHo12 (PBE, optimized geometry)" sg="R-3m (166)" energy_ev_per_atom=-4.156 total_magnetization_mub_per_cell=0.00 formation_energy_ev_per_atom=0.446 pbc="T T T"
Tb 3.3224 -4.7772 2.7168
Tb -1.9964 -6.0385 -0.8898
Tb 3.4727 -3.8714 -3.7674
Tb 4.9933 -3.1340 -0.3221
Tb -0.3255 -4.3952 -3.9287
Tb -0.4758 -5.3011 2.5555
Sm 0.0000 0.0000 0.0000
Ho 1.3621 -5.4080 5.2768
Ho 1.7388 -2.6938 1.2760
Ho -0.8538 -3.3086 -0.4820
Ho 1.1848 -6.9202 0.6728
Ho 3.8507 -5.8638 -0.7299
Ho 1.2581 -6.4786 -2.4879
Ho -3.3270 -5.7305 -3.8780
Ho 6.4602 -2.6201 -3.2166
Ho 1.6348 -3.7644 -6.4887
Ho 6.3239 -3.4419 2.6661
Ho -3.4634 -6.5523 2.0047
Ho 1.8121 -2.2523 -1.8847

---

(9)
15
Lattice="9.0639 0.0000 0.0000 4.5320 7.8496 0.0000 4.5320 2.6165 6.8998" Properties=species:S:1:pos:R:3 comment="TbSm6Ho8 (PBE, optimized geometry)" sg="R-3 (148)" energy_ev_per_atom=-4.514 total_magnetization_mub_per_cell=0.00 formation_energy_ev_per_atom=0.124 pbc="T T T"
Tb 0.0000 0.0000 0.0000
Sm 12.1844 9.3000 6.0168
Sm 2.5702 2.1193 0.8829
Sm 5.0823 4.5641 0.8829
Sm 13.0456 5.9020 6.0168
Sm 15.5577 8.3468 6.0168
Sm 5.9434 1.1661 0.8829
Ho 8.9440 1.9811 2.9199
Ho 11.8202 3.5032 3.9799
Ho 6.1877 3.7110 3.9799
Ho 9.0639 5.2331 1.8639
Ho 9.0639 5.2331 5.0359
Ho 11.9402 6.7551 2.9199
Ho 6.3077 6.9629 2.9199
Ho 9.1839 8.4850 3.9799

---

(10)
6
Lattice="3.4633 0.0000 0.0000 0.0001 8.2297 -0.0047 0.0001 0.0092 8.2296" Properties=species:S:1:pos:R:3 comment="TbSm4Ho (PBE, optimized geometry)" sg="Cmmm (65)" energy_ev_per_atom=-4.034 total_magnetization_mub_per_cell=0.00 formation_energy_ev_per_atom=0.647 pbc="T T T"
Tb 0.0001 4.1194 4.1124
Sm 1.7318 2.1505 6.0849
Sm 0.0002 6.2761 6.2651
Sm 3.4633 1.9628 1.9597
Sm 1.7318 6.0883 2.1399
Ho 1.7317 0.0000 0.0000

---

(11)
20
Lattice="-8.8127 1.5299 3.2838 -6.4608 -4.6891 -5.1129 8.3479 -4.6417 5.7216" Properties=species:S:1:pos:R:3 comment="Tb5Sm3Ho2 (PBE, optimized geometry)" sg="C2/c (15)" energy_ev_per_atom=-4.450 total_magnetization_mub_per_cell=0.00 formation_energy_ev_per_atom=0.196 pbc="T T T"
Tb -5.4011 -2.2464 -1.5158
Tb -1.5245 -5.5545 5.4083
Tb -0.6367 -6.1434 -0.7377
Tb -1.8046 -3.1041 3.5149
Tb -6.2889 -1.6575 4.6302
Tb -5.1209 -4.6968 0.3776
Tb -5.2595 -4.9229 3.9005
Tb -1.6661 -2.8780 -0.0080
Tb 1.8947 -3.4240 4.7819
Tb -8.8203 -4.3769 -0.8894
Sm -0.3408 -8.7318 1.2623
Sm -6.5848 0.9309 2.6302
Sm -7.4154 -2.2411 1.4343
Sm 0.4898 -5.5598 2.4582
Sm -3.0965 -4.7906 -2.5042
Sm -3.8291 -3.0103 6.3967
Ho -0.7312 -2.2826 6.7159
Ho -6.1944 -5.5183 -2.8233
Ho -2.6261 -6.1298 2.0171
Ho -4.2995 -1.6711 1.8754

---

(12)
24
Lattice="3.6952 0.0000 0.0000 0.0000 13.9422 -5.9596 0.0000 -0.0011 15.1625" Properties=species:S:1:pos:R:3 comment="Tb4Sm9Ho11 (PBE, optimized geometry)" sg="Cmmm (65)" energy_ev_per_atom=-4.589 total_magnetization_mub_per_cell=0.00 formation_energy_ev_per_atom=0.051 pbc="T T T"
Tb 1.8476 7.7313 8.1473
Tb 1.8476 6.2098 1.0556
Tb 1.8476 10.5301 3.9075
Tb 1.8476 3.4111 5.2954
Sm 1.8476 8.7970 -1.2896
Sm 1.8476 5.1441 10.4925
Sm 1.8476 2.2713 8.5960
Sm 1.8476 11.6699 0.6069
Sm 1.8476 10.9682 9.4691
Sm 1.8476 2.9730 -0.2662
Sm 1.8476 13.0176 6.3645
Sm 1.8476 0.9235 2.8384
Sm 1.8476 6.9706 4.6015
Ho 0.0000 8.2772 10.9386
Ho 0.0000 5.6639 -1.7357
Ho 0.0000 13.3113 3.3126
Ho 0.0000 0.6298 5.8903
Ho 0.0000 8.8319 1.7818
Ho 0.0000 5.1093 7.4211
Ho 0.0000 11.7027 -2.5670
Ho 0.0000 2.2385 11.7699
Ho 0.0000 0.0000 0.0000
Ho 0.0000 9.9045 6.5382
Ho 0.0000 4.0366 2.6647

---

(13)
18
Lattice="-6.2801 -6.5956 7.4363 5.5506 -1.2942 3.5397 -0.9293 9.9338 -1.2690" Properties=species:S:1:pos:R:3 comment="Tb2Sm2Ho5 (PBE, optimized geometry)" sg="Ima2 (46)" energy_ev_per_atom=-4.403 total_magnetization_mub_per_cell=0.00 formation_energy_ev_per_atom=0.218 pbc="T T T"
Tb 2.7884 0.8237 3.0152
Tb -3.8116 1.0721 7.0971
Tb -3.1744 -1.8769 5.0197
Tb 2.1512 3.7727 5.0927
Sm 0.0720 -0.0168 0.0459
Sm -0.2928 -3.9617 5.5339
Sm -0.1193 2.7850 2.5687
Sm -0.3495 -1.0185 7.8972
Ho 1.5287 6.7109 2.6826
Ho -0.8951 -5.2014 8.4863
Ho -1.1879 7.4196 0.8433
Ho -3.7291 -4.6159 6.7859
Ho -2.4458 0.2879 2.5813
Ho -0.3996 2.0328 6.3690
Ho 0.1565 -0.5409 4.5560
Ho -3.0019 2.8615 4.3943
Ho 3.1431 4.1109 1.6873
Ho -5.8892 -1.8134 7.3263

---

(14)
6
Lattice="-5.2638 -1.9719 3.5140 -4.2713 -4.3576 -2.5907 -0.2739 -6.1840 2.3721" Properties=species:S:1:pos:R:3 comment="TbSm4Ho (PBE, optimized geometry)" sg="F-43m (216)" energy_ev_per_atom=-4.418 total_magnetization_mub_per_cell=0.00 formation_energy_ev_per_atom=0.262 pbc="T T T"
Tb -2.4523 -3.1284 0.8239
Ho 0.0000 0.0000 0.0000
Sm -5.9951 -4.7270 0.8726
Sm -3.9938 -5.6414 3.3572
Sm -6.1322 -7.8230 2.0602
Sm -3.4969 -6.8358 0.3009

---

(15)
16
Lattice="-2.0533 -4.4796 -1.2322 6.4790 -2.4162 -2.0128 2.3785 -4.7717 13.3839" Properties=species:S:1:pos:R:3 comment="Tb2Sm5Ho (PBE, optimized geometry)" sg="Pbam (55)" energy_ev_per_atom=-4.664 total_magnetization_mub_per_cell=0.00 formation_energy_ev_per_atom=0.015 pbc="T T T"
Tb 2.0772 -5.8225 7.2361
Tb 4.7269 -5.8450 2.9027
Tb 0.8893 -3.4371 0.5438
Tb 5.9148 -8.2304 9.5951
Sm 0.0000 0.0000 0.0000
Sm 4.4287 -3.5939 5.6855
Sm 5.0269 -4.7912 9.0412
Sm 3.8305 -2.3967 2.3299
Sm 7.0737 -3.6121 1.3439
Sm 1.7838 -3.5758 10.0271
Sm 2.6794 -7.0230 10.5971
Sm 4.1247 -4.6445 -0.4582
Sm 1.4822 -4.6341 3.9076
Sm 5.3219 -7.0333 6.2312
Ho 1.1892 -2.3859 6.6919
Ho 3.2395 -1.2081 -1.0064

---

(16)
11
Lattice="-1.6783 -2.1186 5.4678 -3.6966 -4.8462 0.3895 8.5483 -7.6604 1.9548" Properties=species:S:1:pos:R:3 comment="Tb3Sm2Ho6 (PBE, optimized geometry)" sg="C2/m (12)" energy_ev_per_atom=-4.430 total_magnetization_mub_per_cell=0.00 formation_energy_ev_per_atom=0.188 pbc="T T T"
Tb 0.0000 0.0000 0.0000
Tb -1.7812 -2.3078 1.9610
Tb -3.5937 -4.6569 3.8964
Sm 1.5290 -7.4154 2.1476
Sm 1.6444 -7.2098 5.6646
Ho 3.2587 -9.8672 4.0050
Ho 5.1636 -7.3439 5.5690
Ho 5.0498 -7.5464 2.0522
Ho 1.7064 -2.4351 1.8536
Ho -0.0854 -4.7580 3.8071
Ho -1.8764 -7.0788 5.7600

---

(17)
13
Lattice="-6.6635 0.2169 -0.1772 -3.4345 -6.5993 -4.4331 -3.6553 -4.5102 6.4262" Properties=species:S:1:pos:R:3 comment="Tb5SmHo7 (PBE, optimized geometry)" sg="Imm2 (44)" energy_ev_per_atom=-4.357 total_magnetization_mub_per_cell=0.00 formation_energy_ev_per_atom=0.252 pbc="T T T"
Tb -5.2662 -1.9849 2.8471
Tb -1.6960 -2.1011 2.9421
Tb -5.1654 -2.9389 -2.1120
Tb -1.5952 -3.0551 -2.0170
Tb -10.3062 -7.9347 1.3169
Sm -6.6777 -0.1600 -0.1050
Ho -6.8443 -4.5854 0.7430
Ho -6.9743 -8.0400 1.4049
Ho -3.5740 -4.9809 2.7929
Ho -3.4993 -5.6883 -0.8842
Ho -3.4307 -2.5199 0.4150
Ho -6.7958 -5.9283 -2.7251
Ho -6.9419 -4.5458 4.4607

---

(18)
11
Lattice="4.7179 0.0000 0.0000 0.0000 4.7179 0.0000 -2.3589 -2.3589 16.5666" Properties=species:S:1:pos:R:3 comment="Tb3Sm2Ho6 (PBE, optimized geometry)" sg="I4/mmm (139)" energy_ev_per_atom=-4.344 total_magnetization_mub_per_cell=0.00 formation_energy_ev_per_atom=0.274 pbc="T T T"
Tb 0.0000 0.0000 0.0000
Tb 2.3589 2.3589 9.9005
Tb 0.0000 0.0000 6.6661
Sm 0.0000 0.0000 15.0427
Sm 2.3589 2.3589 1.5238
Ho 0.0000 2.3589 4.0321
Ho 2.3589 0.0000 4.0321
Ho 2.3589 0.0000 12.5345
Ho 0.0000 2.3589 12.5345
Ho 2.3589 2.3589 6.4803
Ho 0.0000 0.0000 10.0862

---

(19)
19
Lattice="8.4488 0.7081 0.8482 -0.5810 8.4585 0.8482 -0.5810 -0.6769 8.4740" Properties=species:S:1:pos:R:3 comment="Tb12SmHo6 (PBE, optimized geometry)" sg="R-3 (148)" energy_ev_per_atom=-4.466 total_magnetization_mub_per_cell=0.00 formation_energy_ev_per_atom=0.152 pbc="T T T"
Tb 5.9854 4.8364 4.7985
Tb 2.9050 6.5010 5.6160
Tb 3.8731 3.5330 7.3999
Tb 1.3014 3.6533 5.3720
Tb 4.3818 1.9887 4.5544
Tb 3.4138 4.9567 2.7705
Tb -0.2251 1.4954 3.2148
Tb 5.7746 5.3274 9.5918
Tb 4.3904 8.2731 8.1246
Tb 7.5119 6.9942 6.9557
Tb 1.5123 3.1623 0.5786
Tb 2.8965 0.2165 2.0458
Sm 0.0000 0.0000 0.0000
Ho 5.5618 7.9759 4.0074
Ho 5.6414 2.6105 1.6068
Ho 0.2463 5.7452 2.8556
Ho 1.7251 0.5138 6.1630
Ho 1.6454 5.8792 8.5636
Ho 7.0405 2.7445 7.3148